Below is a relaxed structure of LiLaS, with properties calculated at the PBE level.

Lattice parameters (Å, degrees): 4.0753 4.0753 4.7337 90.00 90.00 90.00
Atoms (fractional coordinates):
Li 0.0000 0.0000 0.0000
La 0.5000 0.5000 0.5000
S 0.0000 0.0000 0.5000

## Properties
* DFT total energy: -0.1801 Ha/atom
* ΔE_f (raw): -1244 meV per atom
* SG: P4/mmm (123)
* spin magnetization: 0.44 μB/f.u.



Below is a relaxed structure of Li2LaS2, with properties calculated at the PBE level.

Lattice parameters (Å, degrees): 3.7427 3.7427 12.7239 90.00 90.00 90.00
Atoms (fractional coordinates):
Li 0.0000 0.5000 0.2500
Li 0.0000 0.5000 0.7500
Li 0.5000 0.0000 0.2500
Li 0.5000 0.0000 0.7500
La 0.0000 0.0000 0.0000
La 0.5000 0.5000 0.5000
S 0.0000 0.0000 0.3706
S 0.0000 0.0000 0.6294
S 0.5000 0.5000 0.1294
S 0.5000 0.5000 0.8706

## Properties
* DFT total energy: -0.1811 Ha/atom
* ΔE_f (raw): -1526 meV per atom
* SG: I4/mmm (139)
* spin magnetization: 0.00 μB/f.u.



Below is a relaxed structure of LiLa3S, with properties calculated at the PBE level.

Lattice parameters (Å, degrees): 5.5817 5.5817 5.5817 90.00 90.00 90.00
Atoms (fractional coordinates):
Li 0.0000 0.0000 0.0000
La 0.0000 0.5000 0.5000
La 0.5000 0.0000 0.5000
La 0.5000 0.5000 0.0000
S 0.5000 0.5000 0.5000

## Properties
* DFT total energy: -0.1766 Ha/atom
* ΔE_f (raw): -640 meV per atom
* SG: Pm-3m (221)
* spin magnetization: 0.00 μB/f.u.



Ordered energy relative to the lowest polymorph listed for this composition results: 15.5 0.0 0.0; unit meV per atom.